1.
Here is crystalline MgTc2Br at its relaxed geometry from Alexandria via LeMat-Bulk. Energies are from GGA-PBE.

a b c (Å): 3.593 3.593 6.032
angles (deg): 90.00 90.00 90.00
Fractional coordinates of all 4 atoms:
Mg (0.000, 0.000, 0.000)
Tc (0.000, 0.500, 0.500)
Tc (0.500, 0.000, 0.500)
Br (0.500, 0.500, 0.000)

## Properties
Offset from the most stable computed form: 701 meV/atom
Space group: P4/mmm, No. 123
Size of the total moment: 0.1847 μB/atom
Total DFT energy (no corrections): -21.0 eV/cell
Crystal system: tetragonal

=====

2.
Here is crystalline MgTcBr2 at its relaxed geometry from Alexandria via LeMat-Bulk. Energies are from GGA-PBE.

a b c (Å): 3.516 3.516 6.921
angles (deg): 90.00 90.00 90.00
Fractional coordinates of all 4 atoms:
Mg (0.000, 0.000, 0.000)
Tc (0.000, 0.000, 0.500)
Br (0.500, 0.500, 0.252)
Br (0.500, 0.500, 0.748)

## Properties
Offset from the most stable computed form: 548 meV/atom
Space group: P4/mmm, No. 123
Size of the total moment: 0.8003 μB/atom
Total DFT energy (no corrections): -13.7 eV/cell
Crystal system: tetragonal

=====

3.
Here is crystalline MgTc2Br at its relaxed geometry from Alexandria via LeMat-Bulk. Energies are from GGA-PBE.

a b c (Å): 5.565 5.565 5.565
angles (deg): 148.38 130.29 60.11
Fractional coordinates of all 4 atoms:
Mg (0.000, 0.000, 0.000)
Tc (0.285, 0.785, 0.500)
Tc (0.500, 0.500, 0.000)
Br (0.724, 0.224, 0.500)

## Properties
Offset from the most stable computed form: 577 meV/atom
Space group: Imm2, No. 44
Size of the total moment: 0.0000 μB/atom
Total DFT energy (no corrections): -21.5 eV/cell
Crystal system: orthorhombic

=====

4.
Here is crystalline MgTcBr2 at its relaxed geometry from Alexandria via LeMat-Bulk. Energies are from GGA-PBE.

a b c (Å): 5.471 5.471 3.541
angles (deg): 107.32 107.32 105.73
Fractional coordinates of all 4 atoms:
Mg (0.000, 0.000, 0.000)
Tc (0.500, 0.500, 0.000)
Br (0.000, 0.500, 0.000)
Br (0.500, 0.000, 0.000)

## Properties
Offset from the most stable computed form: 473 meV/atom
Space group: C2/m, No. 12
Size of the total moment: 0.6272 μB/atom
Total DFT energy (no corrections): -14.0 eV/cell
Crystal system: monoclinic

=====

Question: Number 1 is which compound?
Answer: MgTc2Br